VASP calculation (PBE with a Hubbard U) on Mn2VCd2O6 after structural relaxation.

Cell: 5.666 9.137 5.766 Å, 90.00 110.58 90.00°
Space group C2/m (No. 12)
Unique sites:
Mn: 0.000 0.163 0.000 x4
V: 0.000 0.500 0.000 x2
Cd: 0.000 0.327 0.500 x4
O: 0.208 0.332 0.215 x8
O: 0.249 0.000 0.192 x4

Results
DFT total energy	-6.353	eV per atom
total moment	22.0	Bohr magnetons per cell